Entry 1:
VASP calculation (PBE) on an optimized crystal structure of Zr3Mn8Tc.

The calculation puts the size of the total moment at 16.76 μB/cell. The total energy is -9.2243 eV per atom. The value obtained for the energy relative to the elements is -0.110 eV per atom.

a = 4.9575 Å, b = 4.9575 Å, c = 23.6648 Å
α = 90.00°, β = 90.00°, γ = 120.00°
Space group R3m (No. 160, hexagonal axes)
Symmetry-distinct sites (fractional):
Zr: 0.0000 0.0000 0.0000 [3 per cell]
Zr: 0.0000 0.0000 0.1282 [3 per cell]
Zr: 0.0000 0.0000 0.5054 [3 per cell]
Mn: 0.0000 0.0000 0.3157 [3 per cell]
Mn: 0.0000 0.0000 0.8146 [3 per cell]
Mn: 0.0031 0.5016 0.5667 [9 per cell]
Mn: 0.1677 0.3354 0.3969 [9 per cell]
Tc: 0.0000 0.0000 0.6280 [3 per cell]

---

Entry 2:
VASP calculation (PBE) on an optimized crystal structure of TmTh2P3Ir12.

The calculation puts the size of the total moment at 0.00 μB/cell. The total energy is -7.9920 eV per atom. The value obtained for the energy relative to the elements is -0.110 eV per atom.

a = 8.4729 Å, b = 8.4729 Å, c = 15.9554 Å
α = 90.00°, β = 90.00°, γ = 120.00°
Space group R-3m (No. 166, hexagonal axes)
Symmetry-distinct sites (fractional):
Tm: 0.0000 0.0000 0.0000 [3 per cell]
Th: 0.0000 0.0000 0.3984 [6 per cell]
P: 0.0000 0.5000 0.5000 [9 per cell]
Ir: 0.0240 0.5120 0.3588 [18 per cell]
Ir: 0.0453 0.5227 0.8606 [18 per cell]

---

Entry 3:
VASP calculation (PBE) on an optimized crystal structure of Pa2Zn2Ge.

The calculation puts the size of the total moment at 0.00 μB/cell. The total energy is -5.1896 eV per atom. The value obtained for the energy relative to the elements is 0.042 eV per atom.

a = 3.7006 Å, b = 3.7006 Å, c = 16.0481 Å
α = 90.00°, β = 90.00°, γ = 90.00°
Space group I4/mmm (No. 139)
Symmetry-distinct sites (fractional):
Pa: 0.0000 0.0000 0.0902 [4 per cell]
Zn: 0.0000 0.5000 0.2500 [4 per cell]
Ge: 0.0000 0.0000 0.5000 [2 per cell]

---

Entry 4:
VASP calculation (PBE) on an optimized crystal structure of LiSbCl2.

The calculation puts the size of the total moment at 0.00 μB/cell. The total energy is -3.1928 eV per atom. The energy above the most stable polymorph in this dataset is 317 meV per atom. For the raw formation energy, the calculation gives -0.76 eV per atom.

a = 3.5488 Å, b = 5.8847 Å, c = 5.6299 Å
α = 90.00°, β = 107.38°, γ = 90.00°
Space group Pm (No. 6)
Symmetry-distinct sites (fractional):
Li: 0.0000 0.0000 0.0000 [1 per cell]
Sb: 0.3414 0.5000 0.6749 [1 per cell]
Cl: 0.1105 0.5000 0.1905 [1 per cell]
Cl: 0.3702 0.0000 0.7269 [1 per cell]